CdP2Au SCAN single point on PBEsol structure; calculated formation energy = -0.137 eV per atom; space-group type = C2/m (12)
1.0
-2.2031 2.2394 0.7943
-1.2981 0.3339 -4.5417
-1.8445 -4.8911 2.0644
P Au Cd
2 1 1
direct
0.2366 0.1460 0.4732
0.7634 0.8540 0.5268
0.0000 0.0000 0.0000
0.5000 0.5000 0.0000



NiTeBr2 SCAN single point on PBEsol structure; energy relative to the lowest polymorph listed for this composition = 0.0 meV per atom; E_form (uncorrected) = 0.6 eV/f.u.; space-group type = P4mm (99)
1.0
-0.0495 -0.2542 3.3210
3.3307 0.0112 0.0505
-0.0356 7.8694 0.6019
Br Ni Te
2 1 1
direct
0.0000 0.0000 0.9617
0.5000 0.5000 0.3250
0.0000 0.0000 0.5259
0.5000 0.5000 0.6874



NaAlOsBr2 SCAN single point on PBEsol structure; E_form (uncorrected) = 2.3 eV/f.u.; space-group type = P4/mmm (123)
1.0
4.7664 0.0000 0.0000
0.0000 5.2683 0.0000
0.0000 0.0000 5.2683
Al Os Br Na
1 1 2 1
direct
0.0000 0.0000 0.0000
0.5000 0.0000 0.0000
0.0000 0.5000 0.0000
0.0000 0.0000 0.5000
0.5000 0.5000 0.5000



Ba3Mo SCAN single point on PBEsol structure; calculated formation energy = 0.910 eV per atom; space-group type = Pm-3m (221)
1.0
5.3427 0.0000 0.0000
0.0000 5.3427 0.0000
0.0000 0.0000 5.3427
Ba Mo
3 1
direct
0.5000 0.5000 0.0000
0.0000 0.5000 0.5000
0.5000 0.0000 0.5000
0.0000 0.0000 0.0000



NbCd3N SCAN single point on PBEsol structure; E_form (uncorrected) = 9.0 eV/f.u.; space-group type = Pm-3m (221)
1.0
5.5945 0.0000 0.0000
0.0000 5.5945 0.0000
0.0000 0.0000 5.5945
N Nb Cd
1 1 3
direct
0.5000 0.5000 0.5000
0.0000 0.0000 0.0000
0.5000 0.0000 0.0000
0.0000 0.0000 0.5000
0.0000 0.5000 0.0000



YTeSe2Br SCAN single point on PBEsol structure; E_form (uncorrected) = -2.8 eV/f.u.; space-group type = P4/mmm (123)
1.0
5.2095 0.0000 0.0000
0.0000 5.4510 0.0000
0.0000 0.0000 5.4510
Y Se Br Te
1 2 1 1
direct
0.0000 0.0000 0.0000
0.0000 0.5000 0.0000
0.0000 0.0000 0.5000
0.5000 0.0000 0.0000
0.5000 0.5000 0.5000



Li2YOs SCAN single point on PBEsol structure; energy relative to the lowest polymorph listed for this composition = 357.2 meV per atom; calculated formation energy = 0.557 eV per atom; space-group type = Cmmm (65)
1.0
2.7473 -0.0178 0.0000
-1.1645 2.4884 0.0000
0.0000 0.0000 10.2459
Li Y Os
2 1 1
direct
0.0000 0.0000 0.2881
0.0000 0.0000 0.7119
0.5000 0.5000 0.0000
0.5000 0.5000 0.5000



CaRhBr2 SCAN single point on PBEsol structure; energy relative to the lowest polymorph listed for this composition = 181.7 meV per atom; E_form (uncorrected) = -1.7 eV/f.u.; space-group type = R-3m (166)
1.0
3.9662 0.0000 0.0000
1.9831 3.4348 0.0000
1.9831 1.1449 8.1752
Br Ca Rh
2 1 1
direct
0.8863 0.8863 0.3412
0.1137 0.1137 0.6588
0.0000 0.0000 0.0000
0.5000 0.5000 0.5000



TiNb3Ga SCAN single point on PBEsol structure; energy relative to the lowest polymorph listed for this composition = 96.2 meV per atom; calculated formation energy = 1.086 eV per atom; space-group type = Pm-3m (221)
1.0
4.6146 0.0000 0.0000
0.0000 4.6146 0.0000
0.0000 0.0000 4.6146
Ti Nb Ga
1 3 1
direct
0.0000 0.0000 0.0000
0.0000 0.0000 0.5000
0.0000 0.5000 0.0000
0.5000 0.0000 0.0000
0.5000 0.5000 0.5000



Ge2BiRuCl SCAN single point on PBEsol structure; E_form (uncorrected) = 7.5 eV/f.u.; space-group type = P4/mmm (123)
1.0
-1.9033 -1.2763 4.5974
1.4688 -5.1197 -0.8133
4.7841 1.0132 2.2619
Cl Ge Ru Bi
1 2 1 1
direct
0.5000 0.0000 0.0000
0.0000 0.5000 0.0000
0.0000 0.0000 0.5000
0.5000 0.5000 0.5000
0.0000 0.0000 0.0000



CaPAuS2 SCAN single point on PBEsol structure; E_form (uncorrected) = 4.2 eV/f.u.; space-group type = P4/mmm (123)
1.0
-2.3277 4.4223 0.0199
-2.2855 -1.2222 4.2730
3.9125 2.0473 2.6782
Ca Au S P
1 1 2 1
direct
0.0000 0.0000 0.0000
0.5000 0.5000 0.5000
0.5000 0.0000 0.0000
0.0000 0.5000 0.0000
0.0000 0.0000 0.5000



CsLiMoO4 SCAN single point on PBEsol structure; E_form (uncorrected) = -16.4 eV/f.u.; space-group type = F-43m (216)
1.0
5.9314 0.0000 0.0000
2.9657 5.1368 0.0000
2.9657 1.7123 4.8430
O Mo Cs Li
4 1 1 1
direct
0.3712 0.3712 0.3712
0.3712 0.3712 0.8865
0.3712 0.8865 0.3712
0.8865 0.3712 0.3712
0.2500 0.2500 0.2500
0.7500 0.7500 0.7500
0.5000 0.5000 0.5000



MoHOF2 SCAN single point on PBEsol structure; space-group type = P4/mmm (123)
1.0
-2.8881 2.3780 -0.0447
-0.8556 -0.9674 3.8137
2.4124 2.9542 1.2906
F Mo O H
2 1 1 1
direct
0.0000 0.0000 0.5000
0.0000 0.5000 0.0000
0.0000 0.0000 0.0000
0.5000 0.0000 0.0000
0.5000 0.5000 0.5000



CsBi2Sb2 SCAN single point on PBEsol structure; energy relative to the lowest polymorph listed for this composition = 0.0 meV per atom; E_form (uncorrected) = -1.0 eV/f.u.; space-group type = I4/mmm (139)
1.0
5.7161 0.0000 0.0000
0.0000 5.7161 0.0000
-2.8581 -2.8581 5.7967
Sb Bi Cs
2 2 1
direct
0.6421 0.6421 0.2843
0.3579 0.3579 0.7157
0.2500 0.7500 0.5000
0.7500 0.2500 0.5000
0.0000 0.0000 0.0000



Mn2BeTe SCAN single point on PBEsol structure; energy relative to the lowest polymorph listed for this composition = 174.2 meV per atom; E_form (uncorrected) = 1.2 eV/f.u.; space-group type = P4mm (99)
1.0
2.8891 0.0000 0.0000
0.0000 2.8891 0.0000
0.0000 0.0000 7.3132
Te Mn Be
1 2 1
direct
0.0000 0.0000 0.4348
0.0000 0.0000 0.0085
0.5000 0.5000 0.1949
0.5000 0.5000 0.8618



SiTcOs2 SCAN single point on PBEsol structure; E_form (uncorrected) = -1.0 eV/f.u.; space-group type = P4/mmm (123)
1.0
2.8376 0.0000 0.0000
0.0000 2.8376 0.0000
0.0000 0.0000 6.6029
Si Os Tc
1 2 1
direct
0.5000 0.5000 0.0000
0.0000 0.0000 0.7761
0.0000 0.0000 0.2239
0.5000 0.5000 0.5000



Y2InSe SCAN single point on PBEsol structure; energy relative to the lowest polymorph listed for this composition = 74.6 meV per atom; E_form (uncorrected) = -4.9 eV/f.u.; space-group type = Pmmm (47)
1.0
-3.7284 -1.2040 0.2494
0.9110 -3.3854 -2.7240
1.4067 -3.3869 4.6799
Y Se In
2 1 1
direct
0.0000 0.0000 0.5000
0.5000 0.5000 0.0000
0.5000 0.5000 0.5000
0.0000 0.0000 0.0000



Y3Ga5O12 SCAN single point on PBEsol structure; E_form (uncorrected) = -56.7 eV/f.u.; space-group type = Ia-3d (230)
1.0
10.6180 0.0000 0.0000
-3.5393 10.0108 0.0000
-3.5393 -5.0054 8.6696
O Ga Y
48 20 12
direct
0.5939 0.4707 0.6772
0.4167 0.7935 0.3228
0.1772 0.5833 0.7065
0.2065 0.1772 0.0833
0.8228 0.4167 0.2935
0.2065 0.0293 0.6232
0.9707 0.0939 0.1772
0.9061 0.3228 0.5293
0.4707 0.2935 0.8768
0.2935 0.3768 0.9707
0.0939 0.6772 0.4707
0.9061 0.5833 0.8768
0.0833 0.6772 0.2065
0.0833 0.4061 0.3768
0.8768 0.0833 0.9061
0.2935 0.9167 0.8228
0.9167 0.3228 0.7935
0.3228 0.0293 0.4061
0.6772 0.7065 0.5833
0.6232 0.5293 0.2065
0.6772 0.9707 0.5939
0.9707 0.8768 0.2935
0.5939 0.1232 0.4167
0.3768 0.4707 0.7935
0.3228 0.2935 0.4167
0.6232 0.0939 0.9167
0.0939 0.4167 0.1232
0.9167 0.5939 0.6232
0.3768 0.9061 0.0833
0.7935 0.9707 0.3768
0.8768 0.7935 0.4707
0.4707 0.1772 0.0939
0.7065 0.6232 0.0293
0.5293 0.7065 0.1232
0.7935 0.8228 0.9167
0.0293 0.9061 0.8228
0.4061 0.5293 0.3228
0.1232 0.2065 0.5293
0.5293 0.8228 0.9061
0.4061 0.8768 0.5833
0.1232 0.9167 0.0939
0.8228 0.4061 0.0293
0.0293 0.1232 0.7065
0.5833 0.2065 0.6772
0.5833 0.3768 0.4061
0.4167 0.6232 0.5939
0.1772 0.5939 0.9707
0.7065 0.0833 0.1772
0.3750 0.7500 0.1250
0.5000 0.5000 0.5000
0.8750 0.7500 0.6250
0.5000 0.0000 0.0000
0.0000 0.0000 0.0000
0.6250 0.2500 0.8750
0.2500 0.3750 0.1250
0.5000 0.5000 0.0000
0.8750 0.1250 0.7500
0.1250 0.2500 0.3750
0.0000 0.5000 0.0000
0.7500 0.6250 0.8750
0.1250 0.8750 0.2500
0.0000 0.5000 0.5000
0.6250 0.3750 0.2500
0.5000 0.0000 0.5000
0.0000 0.0000 0.5000
0.2500 0.8750 0.6250
0.7500 0.1250 0.3750
0.3750 0.6250 0.7500
0.8750 0.2500 0.1250
0.6250 0.8750 0.7500
0.2500 0.6250 0.3750
0.2500 0.1250 0.8750
0.7500 0.8750 0.1250
0.6250 0.7500 0.3750
0.3750 0.2500 0.6250
0.1250 0.7500 0.8750
0.1250 0.3750 0.7500
0.7500 0.3750 0.6250
0.8750 0.6250 0.2500
0.3750 0.1250 0.2500



IrPtSe2 SCAN single point on PBEsol structure; E_form (uncorrected) = 2.6 eV/f.u.; space-group type = I-4m2 (119)
1.0
-3.2817 2.0046 -0.0915
-0.7000 -0.9792 3.6534
4.1075 3.0141 -0.4302
Ir Pt Se
1 1 2
direct
0.5000 0.5000 0.0000
0.2500 0.7500 0.5000
0.7500 0.2500 0.5000
0.0000 0.0000 0.0000



Na6MnO4 SCAN single point on PBEsol structure; energy relative to the lowest polymorph listed for this composition = 4.5 meV per atom; E_form (uncorrected) = -16.6 eV/f.u.; space-group type = P4_2/nmc (137)
1.0
5.4314 0.0000 0.0000
0.0000 7.4457 0.0000
0.0000 0.0000 7.4457
Na O Mn
12 8 2
direct
0.0000 0.2117 0.7883
0.5000 0.2883 0.7117
0.5884 0.0000 0.5000
0.5000 0.7117 0.7117
0.0000 0.7883 0.2117
0.0000 0.2117 0.2117
0.0884 0.0000 0.5000
0.4116 0.5000 0.0000
0.5000 0.7117 0.2883
0.5000 0.2883 0.2883
0.9116 0.5000 0.0000
0.0000 0.7883 0.7883
0.6812 0.2456 0.0000
0.3188 0.0000 0.2456
0.1812 0.5000 0.7456
0.3188 0.0000 0.7544
0.8188 0.2544 0.5000
0.1812 0.5000 0.2544
0.8188 0.7456 0.5000
0.6812 0.7544 0.0000
0.5000 0.0000 0.0000
0.0000 0.5000 0.5000



RbRePd2S SCAN single point on PBEsol structure; E_form (uncorrected) = 1.6 eV/f.u.; space-group type = P4/mmm (123)
1.0
-3.2980 -0.8904 -2.8920
-2.3973 -2.5649 3.5235
-2.3582 4.1452 1.4130
Rb S Pd Re
1 1 2 1
direct
0.5000 0.5000 0.5000
0.5000 0.0000 0.0000
0.0000 0.5000 0.0000
0.0000 0.0000 0.5000
0.0000 0.0000 0.0000



InHg2Cl SCAN single point on PBEsol structure; energy relative to the lowest polymorph listed for this composition = 32.4 meV per atom; E_form (uncorrected) = -1.4 eV/f.u.; space-group type = P4mm (99)
1.0
-2.2838 0.5157 -2.8183
-1.6230 -3.2029 0.7291
-4.8555 3.5020 4.5754
Cl Hg In
1 2 1
direct
0.5000 0.5000 0.7220
0.5000 0.5000 0.2442
0.0000 0.0000 0.0116
0.0000 0.0000 0.5222



KBeOs2 SCAN single point on PBEsol structure; calculated formation energy = 0.615 eV per atom; space-group type = R-3m (166)
1.0
-0.4731 2.2110 -1.4787
-1.9389 -0.0224 -1.8812
-7.0866 3.6924 5.3200
Os Be K
2 1 1
direct
0.7678 0.7678 0.6965
0.2322 0.2322 0.3035
0.5000 0.5000 0.5000
0.0000 0.0000 0.0000



TePbAu2 SCAN single point on PBEsol structure; energy relative to the lowest polymorph listed for this composition = 0.0 meV per atom; E_form (uncorrected) = -0.4 eV/f.u.; space-group type = R-3m (166)
1.0
4.1988 0.0000 0.0000
2.0994 3.6363 0.0000
2.0994 1.2121 6.2642
Pb Au Te
1 2 1
direct
0.5000 0.5000 0.5000
0.7451 0.7451 0.7647
0.2549 0.2549 0.2353
0.0000 0.0000 0.0000



no.,M_tot (μB/f.u.),energy (eV per atom)
1,0.00,-30.23
2,0.00,-22.94
3,2.37,-24.10
4,2.64,-37.47
5,7.57,-24.93
6,0.00,-25.50
7,0.00,-25.57
8,1.73,-21.00
9,0.00,-25.27
10,2.37,-30.42
11,2.19,-20.85
12,0.00,-16.63
13,2.97,-11.76
14,0.00,-54.09
15,0.49,-19.24
16,0.00,-47.45
17,0.00,-28.52
18,0.00,-14.84
19,0.00,-44.70
20,5.00,-7.73
21,0.00,-33.08
22,0.00,-44.78
23,0.00,-38.50
24,0.00,-62.94